VASP calculation (GGA-PBE) on a geometry-optimized K3Na2LiI6 structure.

The structure in CIF format:
```
data_K3Na2LiI6
_chemical_formula_sum 'K3 Na2 Li1 I6'
_symmetry_space_group_name_H-M 'P 1'
_symmetry_Int_Tables_number 1
_symmetry_space_group_name_Hall 'P 1'
_cell_length_a 8.209
_cell_length_b 8.209
_cell_length_c 8.404
_cell_angle_alpha 99.38
_cell_angle_beta 99.38
_cell_angle_gamma 120.01
loop_
_atom_site_label
_atom_site_type_symbol
_atom_site_fract_x
_atom_site_fract_y
_atom_site_fract_z
_atom_site_occupancy
I1 I 0.752 0.752 0.220 1
I2 I 0.395 0.073 0.219 1
I3 I 0.605 0.927 0.781 1
I4 I 0.248 0.248 0.780 1
I5 I 0.073 0.395 0.219 1
I6 I 0.927 0.605 0.781 1
Na1 Na 0.334 0.666 0.000 1
Na2 Na 0.666 0.334 0.000 1
K1 K 0.170 0.830 0.500 1
K2 K 0.500 0.500 0.500 1
K3 K 0.830 0.170 0.500 1
Li1 Li 0.000 0.000 0.000 1
```

SG = C2/m
V = 463.6 Å³/f.u.
ΔE_f (raw) = -128.9 kJ per mole of atoms
E_tot = -2.77 eV/atom